[1]
First-principles (PBE) data for a relaxed structure of MnFe2Cu, as listed in Alexandria.

Properties
VASP energy in eV per cell: -29.3
Energy of formation in meV/atom: 215
M_tot in μB per atom: 1.55

Cell: 2.4225 4.1018 4.7164 Å, 90.00 98.17 90.00°
Element x y z (fractional)
Mn  0.0000  0.0000  0.0000
Fe  0.2299  0.5000  0.7566
Fe  0.4633  0.0000  0.5172
Cu  0.7174  0.5000  0.2570

***

[2]
First-principles (PBE) data for a relaxed structure of Cs2BaPaSe4, as listed in Alexandria.

Properties
Formation energy (no corrections) in eV per formula unit: -12.2
VASP energy in eV per cell: -39.3
M_tot in μB per atom: 0.13

Cell: 8.0466 4.5227 8.7745 Å, 90.00 107.38 90.00°
Element x y z (fractional)
Cs  0.0000  0.0000  0.0000
Cs  0.5000  0.5000  0.0000
Ba  0.0000  0.5000  0.5000
Pa  0.5000  0.0000  0.5000
Se  0.2722  0.0000  0.6939
Se  0.2989  0.5000  0.3129
Se  0.7011  0.5000  0.6871
Se  0.7278  0.0000  0.3061

***

[3]
First-principles (PBE) data for a relaxed structure of Np2TlO8, as listed in Alexandria.

Properties
Formation energy (no corrections) in eV per formula unit: -22.1
VASP energy in eV per cell: -90.0
M_tot in μB per atom: 0.00

Cell: 6.5845 6.5845 9.8032 Å, 104.90 104.90 36.59°
Element x y z (fractional)
Np  0.0632  0.0632  0.3643
Np  0.9368  0.9368  0.6357
Tl  0.5000  0.5000  0.0000
O  0.0106  0.0106  0.1442
O  0.0821  0.0821  0.6081
O  0.2095  0.2095  0.3725
O  0.4447  0.4447  0.6579
O  0.5553  0.5553  0.3421
O  0.7905  0.7905  0.6275
O  0.9179  0.9179  0.3919
O  0.9894  0.9894  0.8558

***

[4]
First-principles (PBE) data for a relaxed structure of SrLi2Al2Au2, as listed in Alexandria.

Properties
VASP energy in eV per cell: -23.4
Energy of formation in meV/atom: -545
M_tot in μB per atom: 0.00

Cell: 4.5053 4.5053 8.4769 Å, 105.36 105.36 60.09°
Element x y z (fractional)
Sr  0.0000  0.0000  0.0000
Li  0.1393  0.1393  0.4192
Li  0.8607  0.8607  0.5808
Al  0.4387  0.4387  0.3172
Al  0.5613  0.5613  0.6828
Au  0.2458  0.2458  0.7369
Au  0.7542  0.7542  0.2631

***

[5]
First-principles (PBE) data for a relaxed structure of ZnC3I, as listed in Alexandria.

Properties
Formation energy (no corrections) in eV per formula unit: 15.1
Energy relative to the lowest polymorph listed for this composition in meV per atom: 0
VASP energy in eV per cell: -15.4
M_tot in μB per atom: 0.26

Cell: 4.1259 4.1259 4.1259 Å, 90.00 90.00 90.00°
Element x y z (fractional)
Zn  0.0000  0.0000  0.0000
C  0.0000  0.0000  0.5000
C  0.0000  0.5000  0.0000
C  0.5000  0.0000  0.0000
I  0.5000  0.5000  0.5000

***

[6]
First-principles (PBE) data for a relaxed structure of SrRuBr, as listed in Alexandria.

Properties
Formation energy (no corrections) in eV per formula unit: 0.0
Energy relative to the lowest polymorph listed for this composition in meV per atom: 0
VASP energy in eV per cell: -12.7
M_tot in μB per atom: 0.23

Cell: 4.4487 4.4487 4.0976 Å, 90.00 90.00 120.00°
Element x y z (fractional)
Sr  0.0000  0.0000  0.0000
Ru  0.3333  0.6667  0.5000
Br  0.6667  0.3333  0.5000

***

[7]
First-principles (PBE) data for a relaxed structure of Pm2TeOF, as listed in Alexandria.

Properties
Formation energy (no corrections) in eV per formula unit: -13.6
VASP energy in eV per cell: -33.1
M_tot in μB per atom: 0.20

Cell: 6.8550 6.8550 6.8550 Å, 145.48 145.48 49.61°
Element x y z (fractional)
Pm  0.1462  0.1462  0.0000
Pm  0.8538  0.8538  0.0000
Te  0.5000  0.5000  0.0000
O  0.7500  0.2500  0.5000
F  0.2500  0.7500  0.5000

***

[8]
First-principles (PBE) data for a relaxed structure of CuPt, as listed in Alexandria.

Properties
VASP energy in eV per cell: -10.5
Energy of formation in meV/atom: -161
M_tot in μB per atom: 0.00

Cell: 4.5721 4.5721 4.5721 Å, 35.04 35.04 35.04°
Element x y z (fractional)
Cu  0.0000  0.0000  0.0000
Pt  0.5000  0.5000  0.5000

***

[9]
First-principles (PBE) data for a relaxed structure of LiPmCoPb, as listed in Alexandria.

Properties
VASP energy in eV per cell: -18.2
Energy of formation in meV/atom: -179
M_tot in μB per atom: 0.24

Cell: 4.7805 4.7805 4.7805 Å, 60.00 60.00 60.00°
Element x y z (fractional)
Li  0.0000  0.0000  0.0000
Pm  0.7500  0.7500  0.7500
Co  0.5000  0.5000  0.5000
Pb  0.2500  0.2500  0.2500

***

[10]
First-principles (PBE) data for a relaxed structure of Pm12Y3In, as listed in Alexandria.

Properties
VASP energy in eV per cell: -79.9
Energy of formation in meV/atom: -48
M_tot in μB per atom: 0.00

Cell: 5.0675 5.0675 20.5832 Å, 90.00 90.00 90.00°
Element x y z (fractional)
Pm  0.0000  0.0000  0.0000
Pm  0.0000  0.0000  0.2463
Pm  0.0000  0.0000  0.5000
Pm  0.0000  0.0000  0.7537
Pm  0.0000  0.5000  0.1204
Pm  0.0000  0.5000  0.3736
Pm  0.0000  0.5000  0.6264
Pm  0.0000  0.5000  0.8796
Pm  0.5000  0.0000  0.1204
Pm  0.5000  0.0000  0.3736
Pm  0.5000  0.0000  0.6264
Pm  0.5000  0.0000  0.8796
Y  0.5000  0.5000  0.2481
Y  0.5000  0.5000  0.5000
Y  0.5000  0.5000  0.7519
In  0.5000  0.5000  0.0000

***

Copy entry 8 word for word.
First-principles (PBE) data for a relaxed structure of CuPt, as listed in Alexandria.

Properties
VASP energy in eV per cell: -10.5
Energy of formation in meV/atom: -161
M_tot in μB per atom: 0.00

Cell: 4.5721 4.5721 4.5721 Å, 35.04 35.04 35.04°
Element x y z (fractional)
Cu  0.0000  0.0000  0.0000
Pt  0.5000  0.5000  0.5000